1.
# LaDyGa2I2 (PBE, optimized geometry)
# Total magnetic moment: 0.001 μB per formula unit
# Energy: -4.191 eV per atom
data_LaDyGa2I2
_chemical_formula_sum 'La1 Dy1 Ga2 I2'
_cell_length_a 4.2849
_cell_length_b 4.2849
_cell_length_c 12.4376
_cell_angle_alpha 90.00
_cell_angle_beta 90.00
_cell_angle_gamma 120.00
_symmetry_space_group_name_H-M 'P 3 m 1'
_symmetry_Int_Tables_number 156
_symmetry_space_group_name_Hall 'P 3 -2"'
loop_
_atom_site_label
_atom_site_fract_x
_atom_site_fract_y
_atom_site_fract_z
La1 0.0000 0.0000 0.0000
Dy1 0.0000 0.0000 0.6658
Ga1 0.3333 0.6667 0.8530
Ga2 0.6667 0.3333 0.8000
I1 0.3333 0.6667 0.5082
I2 0.6667 0.3333 0.1728

---

2.
# CuReBiAs (PBE, optimized geometry)
# Total magnetic moment: 0.033 μB per formula unit
# ΔE to the lowest computed polymorph: 0.0 meV/atom
# Energy: -5.465 eV per atom
data_CuReBiAs
_chemical_formula_sum 'Cu4 Re4 Bi4 As4'
_cell_length_a 6.573
_cell_length_b 6.573
_cell_length_c 6.573
_cell_angle_alpha 90.00
_cell_angle_beta 90.00
_cell_angle_gamma 90.00
_symmetry_space_group_name_H-M 'F -4 3 m'
_symmetry_Int_Tables_number 216
_symmetry_space_group_name_Hall 'F -4 2 3'
loop_
_atom_site_label
_atom_site_fract_x
_atom_site_fract_y
_atom_site_fract_z
Cu1 0.000 0.000 0.000
Re1 0.000 0.000 0.500
Bi1 0.250 0.250 0.750
As1 0.250 0.250 0.250

---

3.
# DyBiN2O (PBE, optimized geometry)
# Total magnetic moment: 0.036 μB per formula unit
# Energy: -6.251 eV per atom
data_DyBiN2O
_chemical_formula_sum 'Dy2 Bi2 N4 O2'
_cell_length_a 5.893
_cell_length_b 4.022
_cell_length_c 6.225
_cell_angle_alpha 90.00
_cell_angle_beta 90.00
_cell_angle_gamma 90.00
_symmetry_space_group_name_H-M 'P m m a'
_symmetry_Int_Tables_number 51
_symmetry_space_group_name_Hall '-P 2a 2a'
loop_
_atom_site_label
_atom_site_fract_x
_atom_site_fract_y
_atom_site_fract_z
Dy1 0.250 0.000 0.191
Bi1 0.250 0.500 0.731
N1 0.000 0.500 0.500
N2 0.250 0.000 0.835
O1 0.000 0.500 0.000

---

4.
# ReSbPd2 (PBE, optimized geometry)
# Total magnetic moment: 0.037 μB per formula unit
# Energy: -6.561 eV per atom
data_ReSbPd2
_chemical_formula_sum 'Re4 Sb4 Pd8'
_cell_length_a 6.403
_cell_length_b 6.403
_cell_length_c 6.403
_cell_angle_alpha 90.00
_cell_angle_beta 90.00
_cell_angle_gamma 90.00
_symmetry_space_group_name_H-M 'F -4 3 m'
_symmetry_Int_Tables_number 216
_symmetry_space_group_name_Hall 'F -4 2 3'
loop_
_atom_site_label
_atom_site_fract_x
_atom_site_fract_y
_atom_site_fract_z
Re1 0.000 0.000 0.000
Sb1 0.250 0.250 0.750
Pd1 0.000 0.000 0.500
Pd2 0.250 0.250 0.250

---

Repeat the second record exactly.
# CuReBiAs (PBE, optimized geometry)
# Total magnetic moment: 0.033 μB per formula unit
# ΔE to the lowest computed polymorph: 0.0 meV/atom
# Energy: -5.465 eV per atom
data_CuReBiAs
_chemical_formula_sum 'Cu4 Re4 Bi4 As4'
_cell_length_a 6.573
_cell_length_b 6.573
_cell_length_c 6.573
_cell_angle_alpha 90.00
_cell_angle_beta 90.00
_cell_angle_gamma 90.00
_symmetry_space_group_name_H-M 'F -4 3 m'
_symmetry_Int_Tables_number 216
_symmetry_space_group_name_Hall 'F -4 2 3'
loop_
_atom_site_label
_atom_site_fract_x
_atom_site_fract_y
_atom_site_fract_z
Cu1 0.000 0.000 0.000
Re1 0.000 0.000 0.500
Bi1 0.250 0.250 0.750
As1 0.250 0.250 0.250